1.
Compound: Pr5Ho2Ga4
Source: the Alexandria database
Functional: PBE
Structure: optimized geometry

Size of the total moment   0.0 μB/f.u.
Formation energy from the elements   -0.049 eV/atom
Symmetry   Immm, No. 71
DFT total energy   -4.155 eV per atom

Unit cell a=4.7796 b=11.3681 c=9.1244 alpha=128.53 beta=105.18 gamma=90.00
Fractional positions:
Pr 0.1497 0.4812 0.2995
Pr 0.8503 0.5188 0.7005
Pr 0.1497 0.8183 0.2995
Pr 0.5000 0.0000 0.0000
Pr 0.8503 0.1817 0.7005
Ho 0.8044 0.8044 0.6088
Ho 0.1956 0.1956 0.3912
Ga 0.5924 0.5924 0.1848
Ga 0.0000 0.1401 0.0000
Ga 0.4076 0.4076 0.8152
Ga 0.0000 0.8599 0.0000

2.
Compound: PrHoGa2
Source: the Alexandria database
Functional: PBE
Structure: optimized geometry

Size of the total moment   0.0 μB/f.u.
Formation energy from the elements   -0.594 eV/atom
Symmetry   Pm, No. 6
DFT total energy   -4.447 eV per atom

Unit cell a=4.4239 b=4.1224 c=5.9996 alpha=90.00 beta=111.59 gamma=90.00
Fractional positions:
Pr 0.7244 0.0000 0.9892
Ho 0.4471 0.5000 0.4318
Ga 0.1524 0.5000 0.8457
Ga 0.0071 0.0000 0.5513

3.
Compound: PrHo2Ga9
Source: the Alexandria database
Functional: PBE
Structure: optimized geometry

Size of the total moment   0.0 μB/f.u.
Formation energy from the elements   -0.519 eV/atom
Symmetry   P4/mmm, No. 123
DFT total energy   -3.951 eV per atom

Unit cell a=4.3131 b=4.3131 c=12.9265 alpha=90.00 beta=90.00 gamma=90.00
Fractional positions:
Pr 0.0000 0.0000 0.0000
Ho 0.0000 0.0000 0.3371
Ho 0.0000 0.0000 0.6629
Ga 0.5000 0.5000 0.0000
Ga 0.5000 0.5000 0.3340
Ga 0.5000 0.5000 0.6660
Ga 0.5000 0.0000 0.1735
Ga 0.5000 0.0000 0.5000
Ga 0.5000 0.0000 0.8265
Ga 0.0000 0.5000 0.1735
Ga 0.0000 0.5000 0.5000
Ga 0.0000 0.5000 0.8265

4.
Compound: PrHo2Ga6
Source: the Alexandria database
Functional: PBE
Structure: optimized geometry

Size of the total moment   0.0 μB/f.u.
Formation energy from the elements   -0.489 eV/atom
Symmetry   Immm, No. 71
DFT total energy   -4.055 eV per atom

Unit cell a=4.3474 b=7.1331 c=7.7946 alpha=117.23 beta=106.19 gamma=90.00
Fractional positions:
Pr 0.0000 0.5000 0.0000
Ho 0.8734 0.8734 0.7469
Ho 0.1266 0.1266 0.2531
Ga 0.6849 0.8804 0.3698
Ga 0.3151 0.1196 0.6302
Ga 0.3151 0.5106 0.6302
Ga 0.5000 0.1814 0.0000
Ga 0.5000 0.8186 0.0000
Ga 0.6849 0.4894 0.3698

5.
Compound: Pr2Ho6Ga
Source: the Alexandria database
Functional: PBE
Structure: optimized geometry

Size of the total moment   0.0 μB/f.u.
Formation energy from the elements   0.032 eV/atom
Symmetry   C2/m, No. 12
DFT total energy   -4.419 eV per atom

Unit cell a=3.5156 b=9.3752 c=9.8322 alpha=118.47 beta=90.13 gamma=90.00
Fractional positions:
Pr 0.4976 0.6735 0.3471
Pr 0.5024 0.3265 0.6529
Ho 0.9994 0.3319 0.3234
Ho 0.0006 0.0085 0.6766
Ho 0.0006 0.6681 0.6766
Ho 0.5000 0.2711 0.0000
Ho 0.9994 0.9915 0.3234
Ho 0.5000 0.7289 0.0000
Ga 0.0000 0.0000 0.0000

6.
Compound: Pr3HoGa4
Source: the Alexandria database
Functional: PBE
Structure: optimized geometry

Size of the total moment   0.0 μB/f.u.
Formation energy from the elements   -0.558 eV/atom
Symmetry   P4/mmm, No. 123
DFT total energy   -4.436 eV per atom

Unit cell a=3.6786 b=3.6786 c=14.7836 alpha=90.00 beta=90.00 gamma=90.00
Fractional positions:
Pr 0.5000 0.5000 0.2432
Pr 0.5000 0.5000 0.5000
Pr 0.5000 0.5000 0.7568
Ho 0.5000 0.5000 0.0000
Ga 0.0000 0.0000 0.8888
Ga 0.0000 0.0000 0.1112
Ga 0.0000 0.0000 0.3714
Ga 0.0000 0.0000 0.6286

7.
Compound: PrHo2Ga6
Source: the Alexandria database
Functional: PBE
Structure: optimized geometry

Size of the total moment   0.0 μB/f.u.
Formation energy from the elements   -0.636 eV/atom
Symmetry   P6/mmm, No. 191
DFT total energy   -4.203 eV per atom

Unit cell a=4.1841 b=7.3300 c=7.3300 alpha=120.00 beta=90.00 gamma=90.00
Fractional positions:
Pr 0.0000 0.0000 0.0000
Ho 0.0000 0.3333 0.6667
Ho 0.0000 0.6667 0.3333
Ga 0.5000 0.3351 0.3351
Ga 0.5000 0.6649 0.6649
Ga 0.5000 0.0000 0.6649
Ga 0.5000 0.6649 0.0000
Ga 0.5000 0.3351 0.0000
Ga 0.5000 0.0000 0.3351

8.
Compound: Pr2HoGa6
Source: the Alexandria database
Functional: PBE
Structure: optimized geometry

Size of the total moment   0.0 μB/f.u.
Formation energy from the elements   -0.412 eV/atom
Symmetry   Immm, No. 71
DFT total energy   -4.000 eV per atom

Unit cell a=4.3986 b=7.1358 c=8.0465 alpha=116.32 beta=105.86 gamma=90.00
Fractional positions:
Pr 0.8684 0.8684 0.7367
Pr 0.1316 0.1316 0.2633
Ho 0.0000 0.5000 0.0000
Ga 0.6746 0.8592 0.3493
Ga 0.3254 0.1408 0.6507
Ga 0.3254 0.5099 0.6507
Ga 0.5000 0.1926 0.0000
Ga 0.5000 0.8074 0.0000
Ga 0.6746 0.4901 0.3493